6
Lattice="0.000 3.777 3.777 3.777 0.000 3.777 3.777 3.777 0.000" Properties=species:S:1:pos:R:3 comment="CeInPt4 (PBEsol, relaxed)" space_group=F-43m pbc="T T T"
Ce 0.000 0.000 0.000
In 5.666 5.666 5.666
Pt 2.837 2.837 2.837
Pt 4.718 4.718 2.837
Pt 4.718 2.837 4.718
Pt 2.837 4.718 4.718

---

10
Lattice="7.719 0.000 0.000 0.000 7.719 0.000 0.000 0.000 3.706" Properties=species:S:1:pos:R:3 comment="Ce2InPt2 (PBEsol, relaxed)" space_group=P4/mbm pbc="T T T"
Ce 1.328 2.531 0.000
Ce 2.531 6.390 0.000
Ce 5.187 1.328 0.000
Ce 6.390 5.187 0.000
In 0.000 0.000 1.853
In 3.859 3.859 1.853
Pt 1.013 4.872 1.853
Pt 2.846 1.013 1.853
Pt 4.872 6.706 1.853
Pt 6.706 2.846 1.853

---

9
Lattice="7.455 0.000 0.000 -3.727 6.456 0.000 0.000 0.000 3.921" Properties=species:S:1:pos:R:3 comment="CeInRh (PBEsol, relaxed)" space_group=P-62m pbc="T T T"
Ce -2.192 3.797 0.000
Ce 1.535 2.659 0.000
Ce 4.385 0.000 0.000
In -0.941 1.630 1.961
In 1.882 0.000 1.961
In 2.786 4.826 1.961
Rh 0.000 0.000 0.000
Rh 0.000 4.304 1.961
Rh 3.727 2.152 1.961

---

ΔH_f (0 K) across the listed records, respectively: -0.80; -0.96; -0.67 eV per atom.